Material: Pm6HN2Cl3
Method: DFT, PBE-GGA
State: optimized geometry Values from VASP.

Quantum ESPRESSO input file:
```
&SYSTEM
  ibrav = 0, nat = 12, ntyp = 4
/
ATOMIC_SPECIES
Pm 145.00 Pm.upf
N 14.01 N.upf
H 1.01 H.upf
Cl 35.45 Cl.upf
CELL_PARAMETERS angstrom
6.366 0.028 -0.002
-3.158 5.528 -0.002
-1.071 -1.855 6.985
ATOMIC_POSITIONS angstrom
Pm 3.240 1.774 5.632
N 3.195 1.859 -0.002
Pm 0.065 0.112 5.634
Pm -1.102 1.928 1.349
H 0.000 0.000 0.000
Cl 4.242 0.018 3.490
Pm -0.083 3.693 5.632
Cl -2.104 3.683 3.490
Cl 1.069 1.851 3.490
N 0.013 3.697 -0.002
Pm 2.073 3.589 1.347
Pm 2.220 0.009 1.349
```

Computed properties:
Calculated volume   20.533 A^3/atom
SG   C2/m
Energy   -69.4 eV/cell
Density of states at the Fermi level   6.49 states/eV/cell
Total moment   0.0 μB/cell